Here is crystalline YMgFe at its relaxed geometry from the Alexandria database. Energies are from GGA-PBE.

Geometry as POSCAR:
```
YMgFe
1.0
-1.0412 1.6663 2.6968
-2.1785 -1.7485 -1.8250
1.1948 -5.5483 3.8895
Fe Mg Y
1 1 1
Direct
0.0000 0.0000 0.0044 Fe
0.6667 0.3333 0.2897 Mg
0.3333 0.6667 0.7059 Y
```

Values from the calculation:
The calculated total energy comes out at -15.362 eV/cell. As for the total moment: 0.644 μB per atom. As for the space group: No. 156.